# 1
A geometry-optimized Ca2HgRu structure, computed with GGA-PBE.

Results
Theoretical density (g/cm3): 6.8
Energy relative to the elements (kJ/mol of formula units): 11

a b c (Å): 7.0980 7.1551 3.6586
angles (deg): 90.00 90.00 90.00
Space group Cmmm (No. 65)
Symmetry-distinct sites (fractional):
Ca  0.2500  0.2500  0.0000 [4 per cell]
Hg  0.0000  0.0000  0.5000 [2 per cell]
Ru  0.0000  0.5000  0.5000 [2 per cell]

# 2
A geometry-optimized CaHgRu structure, computed with GGA-PBE.

Results
Theoretical density (g/cm3): 8.5
ΔE to the lowest computed polymorph (eV per atom): 0.012
Energy relative to the elements (kJ/mol of formula units): 59

a b c (Å): 4.6531 4.6531 3.5707
angles (deg): 90.00 90.00 120.00
Space group P-6m2 (No. 187)
Symmetry-distinct sites (fractional):
Ca  0.0000  0.0000  0.0000 [1 per cell]
Hg  0.3333  0.6667  0.5000 [1 per cell]
Ru  0.6667  0.3333  0.5000 [1 per cell]

# 3
A geometry-optimized CaHgRu2 structure, computed with GGA-PBE.

Results
Theoretical density (g/cm3): 9.3
Energy relative to the elements (kJ/mol of formula units): 175

a b c (Å): 3.3002 4.9009 4.8797
angles (deg): 90.00 92.74 90.00
Space group P2/m (No. 10)
Symmetry-distinct sites (fractional):
Ca  0.0000  0.0000  0.0000 [1 per cell]
Hg  0.5000  0.0000  0.5000 [1 per cell]
Ru  0.3853  0.5000  0.7625 [2 per cell]

# 4
A geometry-optimized CaHg2Ru structure, computed with GGA-PBE.

Results
Theoretical density (g/cm3): 10.8
ΔE to the lowest computed polymorph (eV per atom): 0.013
Energy relative to the elements (kJ/mol of formula units): 39

a b c (Å): 6.9369 6.9369 6.9369
angles (deg): 90.00 90.00 90.00
Space group Fm-3m (No. 225)
Symmetry-distinct sites (fractional):
Ca  0.0000  0.0000  0.0000 [4 per cell]
Hg  0.2500  0.2500  0.2500 [8 per cell]
Ru  0.0000  0.0000  0.5000 [4 per cell]

# 5
A geometry-optimized CaHgRu2 structure, computed with GGA-PBE.

Results
Theoretical density (g/cm3): 9.3
Energy relative to the elements (kJ/mol of formula units): 216

a b c (Å): 3.5145 3.5145 6.4298
angles (deg): 90.00 90.00 90.00
Space group P4/mmm (No. 123)
Symmetry-distinct sites (fractional):
Ca  0.0000  0.0000  0.0000 [1 per cell]
Hg  0.0000  0.0000  0.5000 [1 per cell]
Ru  0.5000  0.5000  0.2994 [2 per cell]

# 6
A geometry-optimized CaHgRu2 structure, computed with GGA-PBE.

Results
Theoretical density (g/cm3): 9.0
Energy relative to the elements (kJ/mol of formula units): 319

a b c (Å): 7.7736 7.7736 5.3808
angles (deg): 90.00 90.00 90.00
Space group I-42d (No. 122)
Symmetry-distinct sites (fractional):
Ca  0.0000  0.0000  0.0000 [4 per cell]
Hg  0.0000  0.0000  0.5000 [4 per cell]
Ru  0.2280  0.2500  0.6250 [8 per cell]

Repeat the fifth record exactly.
A geometry-optimized CaHgRu2 structure, computed with GGA-PBE.

Results
Theoretical density (g/cm3): 9.3
Energy relative to the elements (kJ/mol of formula units): 216

a b c (Å): 3.5145 3.5145 6.4298
angles (deg): 90.00 90.00 90.00
Space group P4/mmm (No. 123)
Symmetry-distinct sites (fractional):
Ca  0.0000  0.0000  0.0000 [1 per cell]
Hg  0.0000  0.0000  0.5000 [1 per cell]
Ru  0.5000  0.5000  0.2994 [2 per cell]